# 1
DFT (PBE) results for crystalline Tb2Ga6Co9 at its relaxed geometry.

Computed properties:
- E: -5.520 eV/atom
- Magnetic moment: 7.222 μB/cell
- D(E_F): 1.394 states/eV/atom

Cell lengths 5.122, 5.122, 11.640 Å; angles 90.00, 90.00, 120.00 degrees
Last column: magnetic moment on the atom in μB.
Sites, in units of the cell vectors:
Tb: 0.000 0.000 0.672  -0.19
Tb: 0.000 0.000 0.328  -0.19
Ga: 0.333 0.667 0.000  -0.05
Ga: 0.667 0.333 0.000  -0.05
Ga: 0.333 0.667 0.664  -0.03
Ga: 0.667 0.333 0.664  -0.03
Ga: 0.667 0.333 0.336  -0.03
Ga: 0.333 0.667 0.336  -0.03
Co: 0.500 0.000 0.831  1.08
Co: 0.000 0.500 0.831  1.08
Co: 0.500 0.500 0.831  1.08
Co: 0.500 0.000 0.169  1.08
Co: 0.000 0.500 0.169  1.08
Co: 0.500 0.500 0.169  1.08
Co: 0.500 0.000 0.500  0.55
Co: 0.000 0.500 0.500  0.55
Co: 0.500 0.500 0.500  0.55

# 2
DFT (PBE) results for crystalline ZrSb2MoSe at its relaxed geometry.

Computed properties:
- Magnetic moment: 2.907 μB/cell
- Formation energy without anion corrections: 5.23 eV/f.u.
- D(E_F): 1.075 states/eV/atom

Cell lengths 5.373, 4.908, 5.373 Å; angles 90.00, 90.00, 90.00 degrees
Last column: magnetic moment on the atom in μB.
Sites, in units of the cell vectors:
Sb: 0.000 0.000 0.500  -0.07
Sb: 0.500 0.000 0.000  -0.06
Mo: 0.500 0.500 0.500  3.11
Se: 0.000 0.000 0.000  0.00
Zr: 0.000 0.500 0.000  -0.38

# 3
DFT (PBE) results for crystalline B5C7 at its relaxed geometry.

Computed properties:
- E: -7.818 eV/atom
- Magnetic moment: 0.000 μB/cell
- D(E_F): 0.232 states/eV/atom

Cell lengths 4.468, 4.468, 5.370 Å; angles 97.98, 97.98, 45.38 degrees
Sites, in units of the cell vectors:
B: 0.199 0.728 0.248
B: 0.316 0.258 0.145
B: 0.605 0.134 0.418
B: 0.634 0.699 0.333
B: 0.075 0.018 0.522
C: 0.978 0.982 0.987
C: 0.941 0.454 0.600
C: 0.268 0.752 0.766
C: 0.351 0.356 0.679
C: 0.581 0.065 0.901
C: 0.673 0.660 0.833
C: 0.879 0.392 0.067

# 4
DFT (PBE) results for crystalline HfCrP3 at its relaxed geometry.

Computed properties:
- E: -6.826 eV/atom
- Magnetic moment: 0.002 μB/cell
- D(E_F): 1.277 states/eV/atom

Cell lengths 4.430, 4.430, 4.430 Å; angles 90.00, 90.00, 90.00 degrees
Sites, in units of the cell vectors:
Cr: 0.000 0.000 0.000
Hf: 0.500 0.500 0.500
P: 0.000 0.500 0.000
P: 0.000 0.000 0.500
P: 0.500 0.000 0.000

# 5
DFT (PBE) results for crystalline Mo2P at its relaxed geometry.

Computed properties:
- E: -8.987 eV/atom
- Magnetic moment: 0.001 μB/cell
- D(E_F): 1.101 states/eV/atom

Cell lengths 4.423, 4.423, 5.111 Å; angles 90.00, 90.00, 120.00 degrees
Sites, in units of the cell vectors:
Mo: 0.000 0.000 0.000
Mo: 0.000 0.000 0.500
Mo: 0.333 0.667 0.750
Mo: 0.667 0.333 0.250
P: 0.333 0.667 0.250
P: 0.667 0.333 0.750

# 6
DFT (PBE) results for crystalline K2SbSe at its relaxed geometry.

Computed properties:
- Magnetic moment: 0.000 μB/cell
- Formation energy without anion corrections: -1.84 eV/f.u.
- D(E_F): 0.364 states/eV/atom

Cell lengths 6.197, 6.197, 4.834 Å; angles 67.04, 67.04, 45.74 degrees
Sites, in units of the cell vectors:
K: 0.000 0.000 0.000
K: 0.500 0.500 0.500
Sb: 0.750 0.750 0.750
Se: 0.250 0.250 0.250

# 7
DFT (PBE) results for crystalline Mg3SnW at its relaxed geometry.

Computed properties:
- E: -3.172 eV/atom
- Magnetic moment: 2.010 μB/cell
- D(E_F): 0.951 states/eV/atom

Cell lengths 5.243, 5.243, 5.243 Å; angles 90.00, 90.00, 90.00 degrees
Last column: magnetic moment on the atom in μB.
Sites, in units of the cell vectors:
Mg: 0.000 0.500 0.000  0.02
Mg: 0.000 0.000 0.500  -0.01
Mg: 0.500 0.000 0.000  0.02
Sn: 0.500 0.500 0.500  -0.11
W: 0.000 0.000 0.000  1.57

# 8
DFT (PBE) results for crystalline ScRe2Ag at its relaxed geometry.

Computed properties:
- E: -8.213 eV/atom
- Magnetic moment: 0.000 μB/cell
- D(E_F): 0.959 states/eV/atom

Cell lengths 5.141, 5.141, 4.816 Å; angles 80.53, 80.53, 32.09 degrees
Sites, in units of the cell vectors:
Ag: 0.250 0.250 0.250
Re: 0.997 0.997 0.993
Re: 0.503 0.503 0.507
Sc: 0.750 0.750 0.750